# 1
## NaPmSc4O8 (GGA-PBE)

Data for a geometry-optimized NaPmSc4O8 structure.

Lattice parameters (Å, degrees): 6.426 6.426 6.469 60.22 60.22 60.00
Sites, in units of the cell vectors:
Sc 0.002 0.496 0.500
O 0.248 0.248 0.708
O 0.756 0.756 0.732
Sc 0.496 0.002 0.500
O 0.248 0.797 0.708
O 0.237 0.237 0.289
Na 0.999 0.999 0.004
O 0.740 0.740 0.283
Sc 0.620 0.620 0.141
O 0.237 0.740 0.283
O 0.740 0.237 0.283
O 0.797 0.248 0.708
Pm 0.380 0.380 0.859
Sc 0.002 0.002 0.500

space group = No. 160
ΔE_f (raw) = -3.229 eV per atom
size of the total moment = 0.0 μB/f.u.
crystal system = trigonal
D(E_F) = 0.0 states/eV/cell



# 2
## NaPmSe2O8 (GGA-PBE)

Data for a geometry-optimized NaPmSe2O8 structure.

Lattice parameters (Å, degrees): 6.110 6.110 6.110 106.02 106.02 116.63
Sites, in units of the cell vectors:
Se 0.750 0.250 0.500
O 0.760 0.084 0.676
O 0.839 0.658 0.180
Na 0.000 0.000 0.000
Se 0.500 0.500 0.000
O 0.478 0.658 0.820
O 0.916 0.240 0.324
O 0.408 0.084 0.324
Pm 0.250 0.750 0.500
O 0.342 0.161 0.820
O 0.342 0.522 0.180
O 0.916 0.592 0.676

space group = No. 119
ΔE_f (raw) = -1.508 eV per atom
size of the total moment = 0.0 μB/f.u.
crystal system = tetragonal
D(E_F) = 0.0 states/eV/cell



# 3
## NaPmSeO5 (GGA-PBE)

Data for a geometry-optimized NaPmSeO5 structure.

Lattice parameters (Å, degrees): 6.270 6.270 8.159 107.47 107.47 97.63
Sites, in units of the cell vectors:
Se 0.348 0.652 0.750
O 0.714 0.629 0.378
O 0.286 0.371 0.622
O 0.298 0.803 0.610
Pm 0.000 0.000 0.000
O 0.090 0.910 0.250
O 0.197 0.702 0.890
O 0.910 0.090 0.750
O 0.702 0.197 0.390
Na 0.679 0.321 0.750
O 0.803 0.298 0.110
Pm 0.000 0.000 0.500
Se 0.652 0.348 0.250
Na 0.321 0.679 0.250
O 0.629 0.714 0.878
O 0.371 0.286 0.122

space group = No. 15
ΔE_f (raw) = -1.751 eV per atom
size of the total moment = 0.0 μB/f.u.
crystal system = monoclinic



# 4
## Na2PmSeO6 (GGA-PBE)

Data for a geometry-optimized Na2PmSeO6 structure.

Lattice parameters (Å, degrees): 5.720 5.721 5.695 59.80 59.83 59.98
Each line ends with the local moment (μB).
Sites, in units of the cell vectors:
O 0.607 0.104 0.826  0.16
O 0.104 0.461 0.827  0.16
O 0.026 0.528 0.277  0.16
O 0.170 0.025 0.279  0.16
Se 0.316 0.316 0.052  -0.02
Pm 0.816 0.816 0.552  -0.01
Na 0.558 0.558 0.326  0.00
O 0.462 0.608 0.824  0.16
O 0.529 0.171 0.276  0.16
Na 0.074 0.074 0.777  0.00

space group = No. 2
ΔE_f (raw) = -1.561 eV per atom
size of the total moment = 1.1 μB/f.u.
crystal system = triclinic
D(E_F) = 7.0 states/eV/cell



# 5
## NaPmSeO6 (GGA-PBE)

Data for a geometry-optimized NaPmSeO6 structure.

Lattice parameters (Å, degrees): 5.454 5.454 4.801 90.00 90.00 59.99
Each line ends with the local moment (μB).
Sites, in units of the cell vectors:
O 0.617 0.073 0.288  0.29
O 0.310 0.617 0.288  0.29
O 0.310 0.073 0.712  0.29
Se 0.333 0.333 0.500  -0.04
O 0.073 0.617 0.712  0.29
O 0.073 0.310 0.288  0.29
O 0.616 0.310 0.712  0.29
Pm 0.000 0.000 0.000  -0.02
Na 0.667 0.667 0.500  0.00

space group = No. 149
ΔE_f (raw) = -1.320 eV per atom
size of the total moment = 2.0 μB/f.u.
crystal system = trigonal
D(E_F) = 4.9 states/eV/cell



# 6
## Na2PmSe2O6 (GGA-PBE)

Data for a geometry-optimized Na2PmSe2O6 structure.

Lattice parameters (Å, degrees): 5.847 5.167 7.018 109.50 90.00 124.46
Sites, in units of the cell vectors:
O 0.788 0.577 0.496
Na 0.698 0.395 0.114
O 0.712 0.908 0.211
Se 0.092 0.183 0.236
Pm 0.500 0.000 0.500
O 0.212 0.423 0.504
O 0.288 0.092 0.789
O 0.195 0.908 0.211
Na 0.302 0.605 0.886
O 0.805 0.092 0.789
Se 0.908 0.817 0.764

space group = No. 12
ΔE_f (raw) = -1.520 eV per atom
size of the total moment = 0.0 μB/f.u.
crystal system = monoclinic
D(E_F) = 2.7 states/eV/cell



# 7
## Na2PmSeO4 (GGA-PBE)

Data for a geometry-optimized Na2PmSeO4 structure.

Lattice parameters (Å, degrees): 5.343 5.343 5.343 104.89 111.81 111.81
Each line ends with the local moment (μB).
Sites, in units of the cell vectors:
O 0.532 0.241 0.329  0.10
O 0.089 0.291 0.759  0.10
O 0.911 0.671 0.203  0.10
Se 0.000 0.500 0.500  0.28
Na 0.000 0.000 0.000  0.00
O 0.468 0.797 0.709  0.10
Na 0.500 0.750 0.250  0.00
Pm 0.500 0.250 0.750  0.00

space group = No. 82
ΔE_f (raw) = -1.665 eV per atom
size of the total moment = 0.9 μB/f.u.
crystal system = tetragonal
D(E_F) = 2.2 states/eV/cell



# 8
## NaPm3Se4O12 (GGA-PBE)

Data for a geometry-optimized NaPm3Se4O12 structure.

Lattice parameters (Å, degrees): 7.752 7.752 7.752 106.90 106.90 106.90
Each line ends with the local moment (μB).
Sites, in units of the cell vectors:
O 0.883 0.500 0.117  -0.01
Se 0.938 0.062 0.500  -0.03
Se 0.500 0.500 0.500  0.28
O 0.500 0.348 0.652  0.09
Pm 0.000 0.563 0.437  0.00
O 0.627 0.788 0.074  -0.01
O 0.652 0.500 0.348  0.09
Na 0.000 0.000 0.000  0.00
O 0.373 0.926 0.212  -0.01
O 0.788 0.074 0.627  -0.01
Pm 0.563 0.437 0.000  0.00
Se 0.062 0.500 0.938  -0.03
O 0.348 0.652 0.500  0.09
O 0.212 0.373 0.926  -0.01
O 0.074 0.627 0.788  -0.01
O 0.117 0.883 0.500  -0.01
Se 0.500 0.938 0.062  -0.03
Pm 0.437 0.000 0.563  0.00
O 0.500 0.117 0.883  -0.01
O 0.926 0.212 0.373  -0.01

space group = No. 155
ΔE_f (raw) = -1.521 eV per atom
size of the total moment = 0.6 μB/f.u.
crystal system = trigonal
D(E_F) = 8.5 states/eV/cell



# 9
## Na2PmSi2O6 (GGA-PBE)

Data for a geometry-optimized Na2PmSi2O6 structure.

Lattice parameters (Å, degrees): 5.649 5.649 7.355 90.00 90.00 120.00
Sites, in units of the cell vectors:
Na 0.333 0.667 0.300
O 0.069 0.698 0.813
Na 0.667 0.333 0.700
Si 0.333 0.667 0.787
Pm 0.000 0.000 0.000
O 0.931 0.302 0.187
Si 0.667 0.333 0.213
O 0.698 0.629 0.187
O 0.371 0.069 0.187
O 0.629 0.931 0.813
O 0.302 0.371 0.813

space group = No. 147
ΔE_f (raw) = -2.337 eV per atom
size of the total moment = 0.8 μB/f.u.
crystal system = trigonal
D(E_F) = 1.6 states/eV/cell



# 10
## Na2Pm2SiO6 (GGA-PBE)

Data for a geometry-optimized Na2Pm2SiO6 structure.

Lattice parameters (Å, degrees): 5.759 5.759 5.840 95.99 95.99 119.40
Sites, in units of the cell vectors:
Pm 0.336 0.664 0.500
O 0.313 0.034 0.679
Si 0.000 0.000 0.500
O 0.034 0.313 0.679
O 0.687 0.966 0.321
Na 0.867 0.133 0.000
Pm 0.664 0.336 0.500
O 0.218 0.218 0.316
O 0.966 0.687 0.321
O 0.782 0.782 0.684
Na 0.133 0.867 0.000

space group = No. 12
ΔE_f (raw) = -2.525 eV per atom
size of the total moment = 0.0 μB/f.u.
crystal system = monoclinic
D(E_F) = 0.0 states/eV/cell



# 11
## NaPm2SiO6 (GGA-PBE)

Data for a geometry-optimized NaPm2SiO6 structure.

Lattice parameters (Å, degrees): 4.799 5.254 5.254 90.00 90.00 90.00
Each line ends with the local moment (μB).
Sites, in units of the cell vectors:
O 0.120 0.500 0.500  0.22
O 0.716 0.222 0.222  0.08
O 0.716 0.778 0.778  0.08
O 0.716 0.778 0.222  0.08
Na 0.572 0.500 0.500  0.00
O 0.716 0.222 0.778  0.08
Pm 0.018 0.000 0.500  -0.01
O 0.253 0.000 0.000  0.00
Pm 0.018 0.500 0.000  -0.01
Si 0.604 0.000 0.000  0.00

space group = No. 99
ΔE_f (raw) = -2.585 eV per atom
size of the total moment = 0.6 μB/f.u.
crystal system = tetragonal
D(E_F) = 5.5 states/eV/cell



# 12
## NaPmSiO4 (GGA-PBE)

Data for a geometry-optimized NaPmSiO4 structure.

Lattice parameters (Å, degrees): 5.946 5.540 6.938 90.00 87.13 90.00
Sites, in units of the cell vectors:
O 0.142 0.984 0.323
Si 0.687 0.250 0.659
Pm 0.805 0.750 0.417
Pm 0.195 0.250 0.583
O 0.858 0.484 0.677
Na 0.584 0.750 0.859
O 0.586 0.250 0.441
O 0.142 0.516 0.323
O 0.529 0.750 0.185
O 0.471 0.250 0.815
O 0.414 0.750 0.559
Na 0.416 0.250 0.141
O 0.858 0.016 0.677
Si 0.313 0.750 0.341

space group = No. 11
ΔE_f (raw) = -2.833 eV per atom
size of the total moment = 0.0 μB/f.u.
crystal system = monoclinic
D(E_F) = 0.0 states/eV/cell



# 13
## Na2PmSmO4 (GGA-PBE)

Data for a geometry-optimized Na2PmSmO4 structure.

Lattice parameters (Å, degrees): 3.545 6.140 5.984 109.99 90.00 90.00
Sites, in units of the cell vectors:
Na 0.000 0.500 0.500
O 0.500 0.237 0.215
Sm 0.000 0.000 0.000
O 0.000 0.740 0.215
O 0.000 0.260 0.785
O 0.500 0.763 0.785
Pm 0.500 0.500 0.000
Na 0.500 0.000 0.500

space group = No. 10
ΔE_f (raw) = -2.664 eV per atom
size of the total moment = 0.0 μB/f.u.
crystal system = monoclinic
D(E_F) = 0.0 states/eV/cell



# 14
## Na3PmSm2O6 (GGA-PBE)

Data for a geometry-optimized Na3PmSm2O6 structure.

Lattice parameters (Å, degrees): 3.541 6.951 7.801 101.37 103.12 90.00
Sites, in units of the cell vectors:
O 0.992 0.768 0.984
O 0.659 0.104 0.319
O 0.675 0.564 0.349
O 0.325 0.436 0.651
Na 0.833 0.167 0.666
Sm 0.167 0.334 0.334
Na 0.167 0.833 0.334
O 0.008 0.232 0.016
Pm 0.500 0.000 0.000
O 0.341 0.896 0.681
Na 0.500 0.500 0.000
Sm 0.833 0.666 0.666

space group = No. 12
ΔE_f (raw) = -2.668 eV per atom
size of the total moment = 0.0 μB/f.u.
crystal system = monoclinic
D(E_F) = 0.0 states/eV/cell



# 15
## Na4Pm3SnO8 (GGA-PBE)

Data for a geometry-optimized Na4Pm3SnO8 structure.

Lattice parameters (Å, degrees): 7.032 6.949 7.032 120.39 120.00 90.00
Sites, in units of the cell vectors:
Sn 0.000 0.500 0.000
Na 0.500 0.000 0.500
Na 0.000 0.000 0.000
Na 0.500 0.000 0.000
O 0.235 0.716 0.981
O 0.235 0.716 0.470
O 0.262 0.286 0.524
O 0.254 0.284 0.019
Pm 0.500 0.500 0.500
Na 0.000 0.000 0.500
Pm 0.500 0.500 0.000
O 0.765 0.284 0.019
O 0.765 0.284 0.530
O 0.746 0.716 0.981
O 0.738 0.714 0.476
Pm 0.000 0.500 0.500

space group = No. 166
ΔE_f (raw) = -2.321 eV per atom
size of the total moment = 0.0 μB/f.u.
crystal system = trigonal
D(E_F) = 1.6 states/eV/cell



# 16
## NaPmSnO3 (GGA-PBE)

Data for a geometry-optimized NaPmSnO3 structure.

Lattice parameters (Å, degrees): 3.496 10.691 6.269 82.88 90.00 90.00
Sites, in units of the cell vectors:
O 0.750 0.748 0.004
O 0.250 0.535 0.798
O 0.250 0.782 0.368
O 0.250 0.252 0.996
Pm 0.250 0.611 0.136
O 0.750 0.218 0.632
Pm 0.750 0.389 0.864
Sn 0.250 0.113 0.795
O 0.750 0.465 0.202
Na 0.250 0.295 0.342
Sn 0.750 0.887 0.205
Na 0.750 0.705 0.658

space group = No. 11
ΔE_f (raw) = -2.154 eV per atom
size of the total moment = 0.0 μB/f.u.
crystal system = monoclinic
D(E_F) = 0.0 states/eV/cell



# 17
## NaPm2SnO6 (GGA-PBE)

Data for a geometry-optimized NaPm2SnO6 structure.

Lattice parameters (Å, degrees): 5.692 5.986 8.310 90.00 87.73 90.00
Each line ends with the local moment (μB).
Sites, in units of the cell vectors:
O 0.852 0.575 0.227  0.17
O 0.676 0.283 0.590  0.18
O 0.292 0.682 0.061  0.10
O 0.324 0.717 0.410  0.18
Na 0.500 0.000 0.000  0.00
O 0.648 0.075 0.273  0.17
Pm 0.531 0.565 0.759  -0.01
Na 0.000 0.500 0.500  0.00
O 0.176 0.217 0.090  0.18
O 0.708 0.318 0.939  0.10
Sn 0.000 0.500 0.000  -0.01
Pm 0.969 0.065 0.741  -0.01
O 0.148 0.425 0.773  0.17
O 0.792 0.818 0.561  0.10
Pm 0.031 0.935 0.259  -0.01
O 0.352 0.925 0.727  0.17
Pm 0.469 0.435 0.241  -0.01
O 0.824 0.783 0.910  0.18
O 0.208 0.182 0.439  0.10
Sn 0.500 0.000 0.500  -0.01

space group = No. 14
ΔE_f (raw) = -2.365 eV per atom
size of the total moment = 1.1 μB/f.u.
crystal system = monoclinic
D(E_F) = 14.8 states/eV/cell



# 18
## Na2PmSnO4 (GGA-PBE)

Data for a geometry-optimized Na2PmSnO4 structure.

Lattice parameters (Å, degrees): 4.718 4.718 6.156 112.54 112.53 90.00
Sites, in units of the cell vectors:
Sn 0.750 0.250 0.500
Pm 0.500 0.500 0.000
Na 0.000 0.000 0.000
Na 0.250 0.750 0.500
O 0.971 0.471 0.942
O 0.529 0.029 0.058
O 0.267 0.267 0.535
O 0.733 0.733 0.465

space group = No. 119
ΔE_f (raw) = -2.024 eV per atom
size of the total moment = 0.0 μB/f.u.
crystal system = tetragonal
D(E_F) = 1.6 states/eV/cell



# 19
## NaPm2SnO5 (GGA-PBE)

Data for a geometry-optimized NaPm2SnO5 structure.

Lattice parameters (Å, degrees): 6.194 6.782 6.782 90.00 90.00 90.00
Each line ends with the local moment (μB).
Sites, in units of the cell vectors:
Na 0.000 0.500 0.500  0.01
O 0.258 0.858 0.358  0.10
O 0.500 0.500 0.500  0.01
O 0.742 0.642 0.858  0.10
O 0.258 0.358 0.142  0.10
O 0.742 0.142 0.642  0.10
Na 0.000 0.000 0.000  0.01
Sn 0.000 0.000 0.500  0.22
O 0.742 0.858 0.358  0.10
O 0.742 0.358 0.142  0.10
Pm 0.500 0.823 0.677  0.03
O 0.258 0.142 0.642  0.10
O 0.500 0.000 0.000  0.01
Pm 0.500 0.677 0.177  0.03
O 0.258 0.642 0.858  0.10
Pm 0.500 0.323 0.823  0.03
Sn 0.000 0.500 0.000  0.22
Pm 0.500 0.177 0.323  0.03

space group = No. 127
ΔE_f (raw) = -2.260 eV per atom
size of the total moment = 0.9 μB/f.u.
crystal system = tetragonal
D(E_F) = 4.5 states/eV/cell



# 20
## NaSr2PmO4 (GGA-PBE)

Data for a geometry-optimized NaSr2PmO4 structure.

Lattice parameters (Å, degrees): 3.619 6.139 6.179 108.30 90.00 90.00
Sites, in units of the cell vectors:
O 0.500 0.271 0.249
Sr 0.500 0.000 0.500
O 0.500 0.729 0.751
O 0.000 0.268 0.768
Pm 0.500 0.500 0.000
Sr 0.000 0.500 0.500
Na 0.000 0.000 0.000
O 0.000 0.732 0.232

space group = No. 10
ΔE_f (raw) = -2.646 eV per atom
size of the total moment = 0.0 μB/f.u.
crystal system = monoclinic
D(E_F) = 0.0 states/eV/cell